! SmGdGe2Os PBE-GGA relaxed; values from VASP
! E = -6.641 eV/atom
! calculated volume = 21.48 Å³ per atom
! total magnetization = 0.01 Bohr magnetons per cell
&SYSTEM
  ibrav = 0, nat = 10, ntyp = 4
/
ATOMIC_SPECIES
Os 190.23 Os.upf
Ge 72.64 Ge.upf
Gd 157.25 Gd.upf
Sm 150.36 Sm.upf
ATOMIC_POSITIONS crystal
Os 0.7722 0.7722 0.6282
Os 0.2278 0.2278 0.3718
Ge 0.8543 0.8543 0.4364
Ge 0.9913 0.9913 0.1270
Ge 0.0087 0.0087 0.8730
Ge 0.1457 0.1457 0.5636
Gd 0.5027 0.5027 0.6739
Gd 0.4973 0.4973 0.3261
Sm 0.3147 0.3147 0.8872
Sm 0.6853 0.6853 0.1128
CELL_PARAMETERS angstrom
-4.2973 2.0174 3.4735
-2.1263 -1.2268 5.3455
8.6678 5.6122 -0.3260